Entry from the Alexandria database: a geometry-optimized BeZnIn2 structure (PBEsol).

For the density, the calculation gives 7.0 g/cm³. The raw total energy is -2.55 eV per atom. The formation energy comes out at 340 meV per atom. As for the magnetic moment: 0.00 μB/f.u. As for the crystal system: tetragonal. As for the space group: P4/mmm.

Lattice parameters (Å, degrees): 2.994 2.994 8.066 90.00 90.00 90.00
Atoms (fractional coordinates):
Be  0.000  0.000  0.000
Zn  0.000  0.000  0.500
In  0.500  0.500  0.226
In  0.500  0.500  0.774